## CrTc2Br (PBE-GGA)

Data for a relaxed structure of CrTc2Br.

Output
The value obtained for the formation energy from raw total energies is 481 meV/atom. As for the mass density: 8.3 g cm⁻³.

Cell: 3.0136 3.0136 7.2447 Å, 90.00 90.00 90.02°
Last column: nearest neighbours and their distance in Å.
Fractional positions:
Tc: 0.0000 0.0000 0.0107  4 Tc 2.59, 4 Cr 2.75
Tc: 0.5000 0.5000 0.2148  4 Tc 2.59
Cr: 0.5000 0.5000 0.7707  4 Tc 2.75, 4 Br 2.88, 4 Cr 3.01
Br: 0.0000 0.0000 0.5038  4 Cr 2.88, 4 Tc 2.99, 4 Br 3.01